No. 1
Below is Sc2InP after structural relaxation, with properties calculated at the PBE level.

Calculated values
- E_tot: -5.448 eV/atom
- Distance to the lowest polymorph of the same formula: 264 kJ/mol of formula units
- ΔH_f (0 K): -1.0 eV/f.u.

Unit cell a=3.6836 b=3.6836 c=24.2740 alpha=90.00 beta=90.00 gamma=120.00
With the nearest neighbours (Å) after each atom.
Space group R3m (No. 160, hexagonal axes)
Asymmetric unit:
Sc1 0.0000 0.0000 0.0000 x3  3 In 3.24, 3 Sc 3.30
Sc2 0.0000 0.0000 0.2295 x3  3 P 2.59
In1 0.0000 0.0000 0.7674 x3  3 P 2.69
P1 0.0000 0.0000 0.5020 x3  3 Sc 2.59, 3 In 2.69

No. 2
Below is Sc2In2P after structural relaxation, with properties calculated at the PBE level.

Calculated values
- E_tot: -5.271 eV/atom
- ΔH_f (0 K): -2.8 eV/f.u.

Unit cell a=6.8686 b=6.8686 c=4.8274 alpha=90.00 beta=90.00 gamma=90.00
With the nearest neighbours (Å) after each atom.
Space group P4/mbm (No. 127)
Asymmetric unit:
Sc1 0.1666 0.3334 0.0000 x4  2 P 2.56
In1 0.1502 0.6502 0.5000 x4  1 In 2.92, 6 Sc 3.00-3.25
P1 0.0000 0.0000 0.0000 x2  4 Sc 2.56

No. 3
Below is ScInP3 after structural relaxation, with properties calculated at the PBE level.

Calculated values
- E_tot: -4.755 eV/atom
- Distance to the lowest polymorph of the same formula: 0 kJ/mol of formula units
- ΔH_f (0 K): 1.5 eV/f.u.

Unit cell a=4.9567 b=4.9567 c=4.9567 alpha=90.00 beta=90.00 gamma=90.00
With the nearest neighbours (Å) after each atom.
Space group Pm-3m (No. 221)
Asymmetric unit:
Sc1 0.0000 0.0000 0.0000 x1  6 P 2.48
In1 0.5000 0.5000 0.5000 x1  12 P 3.50
P1 0.0000 0.0000 0.5000 x3  2 Sc 2.48

No. 4
Below is Sc2InP after structural relaxation, with properties calculated at the PBE level.

Calculated values
- E_tot: -6.132 eV/atom
- Distance to the lowest polymorph of the same formula: 0 kJ/mol of formula units
- ΔH_f (0 K): -3.7 eV/f.u.

Unit cell a=6.3188 b=3.6498 c=7.9241 alpha=90.00 beta=105.51 gamma=90.00
With the nearest neighbours (Å) after each atom.
Space group C2/m (No. 12)
Asymmetric unit:
Sc1 0.2323 0.0000 0.1952 x4  3 P 2.58
In1 0.0000 0.0000 0.5000 x2  6 Sc 3.14
P1 0.0000 0.5000 0.0000 x2  6 Sc 2.58

- Which value of E_tot does entry 3 give?
  -4.755 eV/atom

- The highest ΔH_f (0 K) belongs to which entry?
  ScInP3

- Which value of E_tot does entry 3 give?
  -4.755 eV/atom

- Number 4 is which compound?
  Sc2InP